Pr2Sm12Ho5: relaxed, GGA-PBE.

a b c (Å): 9.325 12.570 8.695
angles (deg): 132.85 90.00 111.77
Atoms (fractional coordinates):
1 Ho 0.700 0.399 0.381
2 Ho 0.230 0.461 0.889
3 Ho 0.000 0.000 0.500
4 Ho 0.770 0.539 0.111
5 Ho 0.300 0.601 0.619
6 Sm 0.563 0.125 0.789
7 Sm 0.181 0.748 0.409
8 Sm 0.433 0.252 0.591
9 Sm 0.335 0.310 0.070
10 Sm 0.567 0.748 0.409
11 Sm 0.819 0.252 0.591
12 Sm 0.090 0.180 0.298
13 Sm 0.026 0.690 0.930
14 Sm 0.974 0.310 0.070
15 Sm 0.665 0.690 0.930
16 Sm 0.910 0.820 0.702
17 Sm 0.437 0.875 0.211
18 Pr 0.322 0.000 0.000
19 Pr 0.678 0.000 0.000

- Symmetry: No. 12
- Volume: 33.92 Å³/atom
- Energy of formation: 0.13 eV per atom
- Density: 7.5 g/cm³
- Distance to the lowest polymorph of the same formula: 0.33 eV per formula unit
- Spin magnetization: 0.000 μB per formula unit